# AcLa6Sn4 (PBE, optimized geometry)
data_AcLa6Sn4
_cell_length_a 8.4150
_cell_length_b 8.4150
_cell_length_c 12.0721
_cell_angle_alpha 90.00
_cell_angle_beta 90.00
_cell_angle_gamma 90.00
_space_group_name_H-M_alt 'I -4 2 m'
_space_group_IT_number 121
_space_group_name_Hall 'I -4 2'
loop_
_atom_site_label
_atom_site_fract_x
_atom_site_fract_y
_atom_site_fract_z
Ac1 0.0000 0.0000 0.0000
La1 0.0000 0.5000 0.0000
La2 0.1537 0.1537 0.6658
Sn1 0.2224 0.2224 0.4013
# * formation enthalpy at 0 K: -0.44 eV/atom